DFT (GGA-PBE) results for a relaxed structure of Th2CuPd.

Computed properties:
- SG: Amm2, No. 38
- Raw total energy: -6.466 eV per atom
- Crystal system: orthorhombic

Unit cell a=4.3608 b=3.8411 c=11.4018 alpha=90.00 beta=90.00 gamma=90.00
Last column: nearest neighbours and their distance in Å.
Fractional coordinates of all 8 atoms:
1 Th 0.0000 0.0000 0.0000  4 Pd 3.03, 3 Cu 3.17-3.18
2 Th 0.0000 0.5000 0.5000  4 Pd 3.03, 3 Cu 3.17-3.18
3 Th 0.5000 0.0000 0.2915  4 Cu 3.01, 3 Pd 3.11-3.25
4 Th 0.5000 0.5000 0.7915  4 Cu 3.01, 3 Pd 3.11-3.25
5 Cu 0.0000 0.0000 0.7212  2 Pd 2.73, 4 Th 3.01
6 Cu 0.0000 0.5000 0.2212  2 Pd 2.73, 4 Th 3.01
7 Pd 0.5000 0.0000 0.5766  2 Cu 2.73, 4 Th 3.03
8 Pd 0.5000 0.5000 0.0766  2 Cu 2.73, 4 Th 3.03

DFT (GGA-PBE) results for a relaxed structure of ZrFe2Tc.

Computed properties:
- SG: Pmmm, No. 47
- Raw total energy: -8.938 eV per atom
- Offset from the most stable computed form: 0.013 eV per atom
- Crystal system: orthorhombic

Unit cell a=3.2493 b=4.2570 c=4.3005 alpha=90.00 beta=90.00 gamma=90.00
Last column: nearest neighbours and their distance in Å.
Fractional coordinates of all 4 atoms:
1 Zr 0.0000 0.0000 0.0000  4 Fe 2.68, 4 Tc 2.69
2 Fe 0.0000 0.5000 0.5000  4 Tc 2.68, 4 Fe 2.69
3 Fe 0.5000 0.5000 0.0000  4 Zr 2.68, 4 Fe 2.69
4 Tc 0.5000 0.0000 0.5000  4 Fe 2.68, 4 Zr 2.69

Size of the total moment values, unit μB per cell, following the record order: 0.000, 4.419.
Formation energy from the elements values, unit kJ/mol of formula units, following the record order: -168, 8.
N(E_F) values, unit states/eV per cell, following the record order: 8.0, 3.8.